## BIrI2N (PBE-GGA)

Data for a relaxed BIrI2N crystal.

The structure belongs to space group P4/mmm (No. 123); the cell edges are 6.0683, 6.0683 and 2.7464 Å and the angles 90.00°, 90.00° and 90.00°. Symmetry generates all atoms from B at (0.0000, 0.0000, 0.0000), Ir at (0.5000, 0.5000, 0.5000), I at (0.0000, 0.5000, 0.0000) and N at (0.0000, 0.0000, 0.5000).

For the raw formation energy, the calculation gives 4.031 eV/f.u. Its polymorph energy (0 for the lowest one) is 0.000 eV/atom. As for the final energy: -4.59 eV per atom. As for the magnetization: 0.0 μB per formula unit.